# MgSb2O6

A relaxed structure of MgSb2O6 (PBEsol, Alexandria).

Output
DFT total energy in eV/atom: -6.507
Space group: P4_2/mnm (136)
Uncorrected formation energy in meV per atom: -1804.4
Crystal system: tetragonal

Cell: 4.6804 4.6804 9.3183 Å, 90.00 90.00 90.00°
Last column: nearest neighbours and their distance in Å.
Fractional positions:
Mg  0.0000  0.0000  0.0000  6 O 2.05-2.06
Mg  0.5000  0.5000  0.5000  6 O 2.05-2.06
Sb  0.0000  0.0000  0.3325  6 O 1.99-2.01
Sb  0.0000  0.0000  0.6675  6 O 1.99-2.01
Sb  0.5000  0.5000  0.1675  6 O 1.99-2.01
Sb  0.5000  0.5000  0.8325  6 O 1.99-2.01
O  0.1906  0.1906  0.5000  2 Sb 2.01, 1 Mg 2.05
O  0.1976  0.1976  0.1712  2 Sb 1.99-2.00, 1 Mg 2.06
O  0.1976  0.1976  0.8288  2 Sb 1.99-2.00, 1 Mg 2.06
O  0.3024  0.6976  0.3288  2 Sb 1.99-2.00, 1 Mg 2.06
O  0.3024  0.6976  0.6712  2 Sb 1.99-2.00, 1 Mg 2.06
O  0.3094  0.6906  0.0000  2 Sb 2.01, 1 Mg 2.05
O  0.6906  0.3094  0.0000  2 Sb 2.01, 1 Mg 2.05
O  0.6976  0.3024  0.3288  2 Sb 1.99-2.00, 1 Mg 2.06
O  0.6976  0.3024  0.6712  2 Sb 1.99-2.00, 1 Mg 2.06
O  0.8024  0.8024  0.1712  2 Sb 1.99-2.00, 1 Mg 2.06
O  0.8024  0.8024  0.8288  2 Sb 1.99-2.00, 1 Mg 2.06
O  0.8094  0.8094  0.5000  2 Sb 2.01, 1 Mg 2.05